Entry 1:
# SmHoThTl

SmHoThTl after structural relaxation (PBE-GGA, Alexandria).

```
data_SmHoThTl
_cell_length_a 7.781
_cell_length_b 7.781
_cell_length_c 7.781
_cell_angle_alpha 90.00
_cell_angle_beta 90.00
_cell_angle_gamma 90.00
_symmetry_space_group_name_H-M 'F -4 3 m'
_symmetry_Int_Tables_number 216
_symmetry_space_group_name_Hall 'F -4 2 3'
loop_
_atom_site_label
_atom_site_fract_x
_atom_site_fract_y
_atom_site_fract_z
Sm1 0.000 0.000 0.000
Ho1 0.000 0.000 0.500
Th1 0.250 0.250 0.750
Tl1 0.250 0.250 0.250
```

Calculated values
- formation enthalpy at 0 K (eV per atom) = 0.059
- size of the total moment (Bohr magnetons per cell) = 0.00

Entry 2:
# SmHoTm5Th2

SmHoTm5Th2 after structural relaxation (PBE-GGA, Alexandria).

```
data_SmHoTm5Th2
_cell_length_a 8.695
_cell_length_b 8.695
_cell_length_c 15.311
_cell_angle_alpha 90.00
_cell_angle_beta 90.00
_cell_angle_gamma 90.00
_symmetry_space_group_name_H-M 'I 4/m c m'
_symmetry_Int_Tables_number 140
_symmetry_space_group_name_Hall '-I 4 2c'
loop_
_atom_site_label
_atom_site_fract_x
_atom_site_fract_y
_atom_site_fract_z
Sm1 0.000 0.500 0.250
Ho1 0.000 0.000 0.250
Tm1 0.000 0.000 0.000
Tm2 0.209 0.291 0.140
Th1 0.119 0.381 0.500
```

Calculated values
- formation enthalpy at 0 K (eV per atom) = 0.344
- size of the total moment (Bohr magnetons per cell) = 0.00

Entry 3:
# SmHo3TmTh

SmHo3TmTh after structural relaxation (PBE-GGA, Alexandria).

```
data_SmHo3TmTh
_cell_length_a 10.609
_cell_length_b 3.556
_cell_length_c 10.625
_cell_angle_alpha 90.00
_cell_angle_beta 109.23
_cell_angle_gamma 90.00
_symmetry_space_group_name_H-M 'P 1 21/m 1'
_symmetry_Int_Tables_number 11
loop_
_symmetry_equiv_pos_as_xyz
'x,y,z'
'-x,-y,-z'
'-x,y+1/2,-z'
'x,-y+1/2,z'
loop_
_atom_site_label
_atom_site_fract_x
_atom_site_fract_y
_atom_site_fract_z
Sm1 0.208 0.250 0.375
Ho1 0.043 0.250 0.874
Ho2 0.293 0.750 0.121
Ho3 0.458 0.750 0.629
Tm1 0.125 0.750 0.628
Th1 0.376 0.250 0.874
```

Calculated values
- formation enthalpy at 0 K (eV per atom) = 0.023
- size of the total moment (Bohr magnetons per cell) = 0.00

Entry 4:
# Sm2HoTm5Th

Sm2HoTm5Th after structural relaxation (PBE-GGA, Alexandria).

```
data_Sm2HoTm5Th
_cell_length_a 8.674
_cell_length_b 8.674
_cell_length_c 15.077
_cell_angle_alpha 90.00
_cell_angle_beta 90.00
_cell_angle_gamma 90.00
_symmetry_space_group_name_H-M 'I 4/m c m'
_symmetry_Int_Tables_number 140
_symmetry_space_group_name_Hall '-I 4 2c'
loop_
_atom_site_label
_atom_site_fract_x
_atom_site_fract_y
_atom_site_fract_z
Sm1 0.115 0.385 0.000
Ho1 0.000 0.500 0.250
Tm1 0.000 0.000 0.000
Tm2 0.212 0.288 0.362
Th1 0.000 0.000 0.250
```

Calculated values
- formation enthalpy at 0 K (eV per atom) = 0.301
- size of the total moment (Bohr magnetons per cell) = 0.00

Entry 5:
# Sm6Ho2Tm3Th

Sm6Ho2Tm3Th after structural relaxation (PBE-GGA, Alexandria).

```
data_Sm6Ho2Tm3Th
_cell_length_a 6.193
_cell_length_b 10.722
_cell_length_c 11.829
_cell_angle_alpha 90.00
_cell_angle_beta 100.08
_cell_angle_gamma 90.00
_symmetry_space_group_name_H-M 'C 1 2/m 1'
_symmetry_Int_Tables_number 12
loop_
_symmetry_equiv_pos_as_xyz
'x,y,z'
'-x,-y,-z'
'-x,y,-z'
'x,-y,z'
'x+1/2,y+1/2,z'
'-x+1/2,-y+1/2,-z'
'-x+1/2,y+1/2,-z'
'x+1/2,-y+1/2,z'
loop_
_atom_site_label
_atom_site_fract_x
_atom_site_fract_y
_atom_site_fract_z
Sm1 0.246 0.000 0.250
Sm2 0.249 0.165 0.751
Ho1 0.000 0.333 0.500
Tm1 0.000 0.167 0.000
Tm2 0.000 0.500 0.000
Th1 0.000 0.000 0.500
```

Calculated values
- formation enthalpy at 0 K (eV per atom) = 0.033
- size of the total moment (Bohr magnetons per cell) = 0.00

Entry 6:
# SmHoTmTh2

SmHoTmTh2 after structural relaxation (PBE-GGA, Alexandria).

```
data_SmHoTmTh2
_cell_length_a 6.643
_cell_length_b 15.599
_cell_length_c 6.647
_cell_angle_alpha 90.00
_cell_angle_beta 90.00
_cell_angle_gamma 90.00
_symmetry_space_group_name_H-M 'C m c m'
_symmetry_Int_Tables_number 63
_symmetry_space_group_name_Hall '-C 2c 2'
loop_
_atom_site_label
_atom_site_fract_x
_atom_site_fract_y
_atom_site_fract_z
Sm1 0.000 0.153 0.250
Ho1 0.000 0.250 0.750
Tm1 0.000 0.349 0.250
Th1 0.249 0.500 0.000
```

Calculated values
- formation enthalpy at 0 K (eV per atom) = 0.424
- size of the total moment (Bohr magnetons per cell) = 0.00

Entry 7:
# SmHo2Tm4Th

SmHo2Tm4Th after structural relaxation (PBE-GGA, Alexandria).

```
data_SmHo2Tm4Th
_cell_length_a 5.016
_cell_length_b 5.026
_cell_length_c 9.867
_cell_angle_alpha 90.00
_cell_angle_beta 90.05
_cell_angle_gamma 90.00
_symmetry_space_group_name_H-M 'P 1 2/m 1'
_symmetry_Int_Tables_number 10
loop_
_symmetry_equiv_pos_as_xyz
'x,y,z'
'-x,-y,-z'
'-x,y,-z'
'x,-y,z'
loop_
_atom_site_label
_atom_site_fract_x
_atom_site_fract_y
_atom_site_fract_z
Sm1 0.000 0.000 0.000
Ho1 0.000 0.000 0.500
Ho2 0.500 0.500 0.000
Tm1 0.000 0.500 0.253
Tm2 0.500 0.000 0.253
Th1 0.500 0.500 0.500
```

Calculated values
- formation enthalpy at 0 K (eV per atom) = 0.030
- size of the total moment (Bohr magnetons per cell) = 0.00

Entry 8:
# Sm6HoTm3Th2

Sm6HoTm3Th2 after structural relaxation (PBE-GGA, Alexandria).

```
data_Sm6HoTm3Th2
_cell_length_a 6.198
_cell_length_b 10.724
_cell_length_c 11.878
_cell_angle_alpha 90.00
_cell_angle_beta 100.02
_cell_angle_gamma 90.00
_symmetry_space_group_name_H-M 'C 1 2/m 1'
_symmetry_Int_Tables_number 12
loop_
_symmetry_equiv_pos_as_xyz
'x,y,z'
'-x,-y,-z'
'-x,y,-z'
'x,-y,z'
'x+1/2,y+1/2,z'
'-x+1/2,-y+1/2,-z'
'-x+1/2,y+1/2,-z'
'x+1/2,-y+1/2,z'
loop_
_atom_site_label
_atom_site_fract_x
_atom_site_fract_y
_atom_site_fract_z
Sm1 0.247 0.000 0.250
Sm2 0.249 0.168 0.751
Ho1 0.000 0.500 0.000
Tm1 0.000 0.000 0.500
Tm2 0.000 0.333 0.500
Th1 0.000 0.167 0.000
```

Calculated values
- formation enthalpy at 0 K (eV per atom) = 0.038
- size of the total moment (Bohr magnetons per cell) = 0.00

Entry 9:
# SmHo6Tm3Th2

SmHo6Tm3Th2 after structural relaxation (PBE-GGA, Alexandria).

```
data_SmHo6Tm3Th2
_cell_length_a 6.140
_cell_length_b 10.621
_cell_length_c 11.686
_cell_angle_alpha 90.00
_cell_angle_beta 100.09
_cell_angle_gamma 90.00
_symmetry_space_group_name_H-M 'C 1 2/m 1'
_symmetry_Int_Tables_number 12
loop_
_symmetry_equiv_pos_as_xyz
'x,y,z'
'-x,-y,-z'
'-x,y,-z'
'x,-y,z'
'x+1/2,y+1/2,z'
'-x+1/2,-y+1/2,-z'
'-x+1/2,y+1/2,-z'
'x+1/2,-y+1/2,z'
loop_
_atom_site_label
_atom_site_fract_x
_atom_site_fract_y
_atom_site_fract_z
Sm1 0.000 0.000 0.000
Ho1 0.247 0.331 0.750
Ho2 0.247 0.500 0.250
Tm1 0.000 0.166 0.500
Tm2 0.000 0.500 0.500
Th1 0.000 0.333 0.000
```

Calculated values
- formation enthalpy at 0 K (eV per atom) = 0.033
- size of the total moment (Bohr magnetons per cell) = 0.00

Entry 10:
# Sm4HoTm2Th

Sm4HoTm2Th after structural relaxation (PBE-GGA, Alexandria).

```
data_Sm4HoTm2Th
_cell_length_a 5.045
_cell_length_b 5.045
_cell_length_c 10.156
_cell_angle_alpha 90.00
_cell_angle_beta 90.00
_cell_angle_gamma 90.00
_symmetry_space_group_name_H-M 'P 4/m m m'
_symmetry_Int_Tables_number 123
_symmetry_space_group_name_Hall '-P 4 2'
loop_
_atom_site_label
_atom_site_fract_x
_atom_site_fract_y
_atom_site_fract_z
Sm1 0.000 0.500 0.249
Ho1 0.000 0.000 0.500
Tm1 0.000 0.000 0.000
Tm2 0.500 0.500 0.500
Th1 0.500 0.500 0.000
```

Calculated values
- formation enthalpy at 0 K (eV per atom) = 0.032
- size of the total moment (Bohr magnetons per cell) = 0.00

Entry 11:
# SmHo6Tm2Th

SmHo6Tm2Th after structural relaxation (PBE-GGA, Alexandria).

```
data_SmHo6Tm2Th
_cell_length_a 9.121
_cell_length_b 14.820
_cell_length_c 9.507
_cell_angle_alpha 90.00
_cell_angle_beta 97.13
_cell_angle_gamma 90.00
_symmetry_space_group_name_H-M 'C 1 2/c 1'
_symmetry_Int_Tables_number 15
loop_
_symmetry_equiv_pos_as_xyz
'x,y,z'
'-x,-y,-z'
'-x,y,-z+1/2'
'x,-y,z+1/2'
'x+1/2,y+1/2,z'
'-x+1/2,-y+1/2,-z'
'-x+1/2,y+1/2,-z+1/2'
'x+1/2,-y+1/2,z+1/2'
loop_
_atom_site_label
_atom_site_fract_x
_atom_site_fract_y
_atom_site_fract_z
Sm1 0.000 0.027 0.250
Ho1 0.064 0.185 0.941
Ho2 0.097 0.394 0.118
Ho3 0.204 0.226 0.317
Tm1 0.246 0.051 0.548
Th1 0.000 0.407 0.750
```

Calculated values
- formation enthalpy at 0 K (eV per atom) = 0.143
- size of the total moment (Bohr magnetons per cell) = 0.00

Entry 12:
# Sm4Ho2TmTh

Sm4Ho2TmTh after structural relaxation (PBE-GGA, Alexandria).

```
data_Sm4Ho2TmTh
_cell_length_a 5.984
_cell_length_b 5.984
_cell_length_c 7.272
_cell_angle_alpha 90.00
_cell_angle_beta 90.00
_cell_angle_gamma 90.00
_symmetry_space_group_name_H-M 'P 4/m m m'
_symmetry_Int_Tables_number 123
_symmetry_space_group_name_Hall '-P 4 2'
loop_
_atom_site_label
_atom_site_fract_x
_atom_site_fract_y
_atom_site_fract_z
Sm1 0.000 0.500 0.249
Ho1 0.000 0.000 0.000
Ho2 0.500 0.500 0.500
Tm1 0.000 0.000 0.500
Th1 0.500 0.500 0.000
```

Calculated values
- formation enthalpy at 0 K (eV per atom) = 0.143
- size of the total moment (Bohr magnetons per cell) = 0.00

Entry 13:
# Sm3HoTmTh

Sm3HoTmTh after structural relaxation (PBE-GGA, Alexandria).

```
data_Sm3HoTmTh
_cell_length_a 6.595
_cell_length_b 6.866
_cell_length_c 8.766
_cell_angle_alpha 90.57
_cell_angle_beta 98.26
_cell_angle_gamma 90.04
_symmetry_space_group_name_H-M 'P -1'
_symmetry_Int_Tables_number 2
loop_
_symmetry_equiv_pos_as_xyz
'x,y,z'
'-x,-y,-z'
loop_
_atom_site_label
_atom_site_fract_x
_atom_site_fract_y
_atom_site_fract_z
Sm1 0.002 0.250 0.001
Sm2 0.303 0.244 0.349
Sm3 0.303 0.742 0.348
Ho1 0.203 0.998 0.688
Tm1 0.202 0.498 0.689
Th1 0.499 0.749 0.999
```

Calculated values
- formation enthalpy at 0 K (eV per atom) = 0.161
- size of the total moment (Bohr magnetons per cell) = 0.00

Entry 14:
# Sm2Ho4TmTh

Sm2Ho4TmTh after structural relaxation (PBE-GGA, Alexandria).

```
data_Sm2Ho4TmTh
_cell_length_a 9.973
_cell_length_b 7.124
_cell_length_c 7.128
_cell_angle_alpha 90.00
_cell_angle_beta 90.06
_cell_angle_gamma 90.00
_symmetry_space_group_name_H-M 'C 1 2/m 1'
_symmetry_Int_Tables_number 12
loop_
_symmetry_equiv_pos_as_xyz
'x,y,z'
'-x,-y,-z'
'-x,y,-z'
'x,-y,z'
'x+1/2,y+1/2,z'
'-x+1/2,-y+1/2,-z'
'-x+1/2,y+1/2,-z'
'x+1/2,-y+1/2,z'
loop_
_atom_site_label
_atom_site_fract_x
_atom_site_fract_y
_atom_site_fract_z
Sm1 0.000 0.000 0.000
Sm2 0.000 0.500 0.500
Ho1 0.250 0.250 0.248
Tm1 0.000 0.000 0.500
Th1 0.000 0.500 0.000
```

Calculated values
- formation enthalpy at 0 K (eV per atom) = 0.028
- size of the total moment (Bohr magnetons per cell) = 0.00

Entry 15:
# Sm3HoTm6Th2

Sm3HoTm6Th2 after structural relaxation (PBE-GGA, Alexandria).

```
data_Sm3HoTm6Th2
_cell_length_a 6.146
_cell_length_b 10.641
_cell_length_c 11.664
_cell_angle_alpha 90.00
_cell_angle_beta 100.13
_cell_angle_gamma 90.00
_symmetry_space_group_name_H-M 'C 1 2/m 1'
_symmetry_Int_Tables_number 12
loop_
_symmetry_equiv_pos_as_xyz
'x,y,z'
'-x,-y,-z'
'-x,y,-z'
'x,-y,z'
'x+1/2,y+1/2,z'
'-x+1/2,-y+1/2,-z'
'-x+1/2,y+1/2,-z'
'x+1/2,-y+1/2,z'
loop_
_atom_site_label
_atom_site_fract_x
_atom_site_fract_y
_atom_site_fract_z
Sm1 0.000 0.000 0.000
Sm2 0.000 0.334 0.000
Ho1 0.000 0.500 0.500
Tm1 0.245 0.000 0.746
Tm2 0.249 0.169 0.254
Th1 0.000 0.167 0.500
```

Calculated values
- formation enthalpy at 0 K (eV per atom) = 0.019
- size of the total moment (Bohr magnetons per cell) = 0.00

Entry 16:
# Sm5HoTm2Th

Sm5HoTm2Th after structural relaxation (PBE-GGA, Alexandria).

```
data_Sm5HoTm2Th
_cell_length_a 5.604
_cell_length_b 20.323
_cell_length_c 10.546
_cell_angle_alpha 90.00
_cell_angle_beta 90.00
_cell_angle_gamma 90.00
_symmetry_space_group_name_H-M 'C m c 21'
_symmetry_Int_Tables_number 36
loop_
_symmetry_equiv_pos_as_xyz
'x,y,z'
'-x,-y,z+1/2'
'-x,y,z'
'x,-y,z+1/2'
'x+1/2,y+1/2,z'
'-x+1/2,-y+1/2,z+1/2'
'-x+1/2,y+1/2,z'
'x+1/2,-y+1/2,z+1/2'
loop_
_atom_site_label
_atom_site_fract_x
_atom_site_fract_y
_atom_site_fract_z
Sm1 0.000 0.014 0.000
Sm2 0.000 0.276 0.293
Sm3 0.000 0.294 0.686
Sm4 0.000 0.386 0.006
Sm5 0.000 0.481 0.725
Ho1 0.000 0.407 0.438
Tm1 0.000 0.112 0.720
Tm2 0.000 0.115 0.292
Th1 0.000 0.199 0.994
```

Calculated values
- formation enthalpy at 0 K (eV per atom) = 0.159
- size of the total moment (Bohr magnetons per cell) = 0.00

Entry 17:
# Sm2HoTm2Th2

Sm2HoTm2Th2 after structural relaxation (PBE-GGA, Alexandria).

```
data_Sm2HoTm2Th2
_cell_length_a 3.480
_cell_length_b 5.607
_cell_length_c 23.142
_cell_angle_alpha 90.00
_cell_angle_beta 90.00
_cell_angle_gamma 90.00
_symmetry_space_group_name_H-M 'I m m m'
_symmetry_Int_Tables_number 71
_symmetry_space_group_name_Hall '-I 2 2'
loop_
_atom_site_label
_atom_site_fract_x
_atom_site_fract_y
_atom_site_fract_z
Sm1 0.000 0.000 0.145
Ho1 0.000 0.500 0.500
Tm1 0.000 0.000 0.291
Th1 0.000 0.500 0.070
```

Calculated values
- formation enthalpy at 0 K (eV per atom) = 0.091
- size of the total moment (Bohr magnetons per cell) = 0.00

Entry 18:
# Sm5Ho2TmTh

Sm5Ho2TmTh after structural relaxation (PBE-GGA, Alexandria).

```
data_Sm5Ho2TmTh
_cell_length_a 5.604
_cell_length_b 20.373
_cell_length_c 10.556
_cell_angle_alpha 90.00
_cell_angle_beta 90.00
_cell_angle_gamma 90.00
_symmetry_space_group_name_H-M 'C m c 21'
_symmetry_Int_Tables_number 36
loop_
_symmetry_equiv_pos_as_xyz
'x,y,z'
'-x,-y,z+1/2'
'-x,y,z'
'x,-y,z+1/2'
'x+1/2,y+1/2,z'
'-x+1/2,-y+1/2,z+1/2'
'-x+1/2,y+1/2,z'
'x+1/2,-y+1/2,z+1/2'
loop_
_atom_site_label
_atom_site_fract_x
_atom_site_fract_y
_atom_site_fract_z
Sm1 0.000 0.014 0.000
Sm2 0.000 0.276 0.294
Sm3 0.000 0.294 0.687
Sm4 0.000 0.385 0.006
Sm5 0.000 0.482 0.726
Ho1 0.000 0.112 0.720
Ho2 0.000 0.115 0.291
Tm1 0.000 0.405 0.442
Th1 0.000 0.199 0.993
```

Calculated values
- formation enthalpy at 0 K (eV per atom) = 0.155
- size of the total moment (Bohr magnetons per cell) = 0.00

Entry 19:
# Sm2HoTmTh

Sm2HoTmTh after structural relaxation (PBE-GGA, Alexandria).

```
data_Sm2HoTmTh
_cell_length_a 8.506
_cell_length_b 6.325
_cell_length_c 6.343
_cell_angle_alpha 90.00
_cell_angle_beta 94.20
_cell_angle_gamma 90.00
_symmetry_space_group_name_H-M 'P 1 2/c 1'
_symmetry_Int_Tables_number 13
loop_
_symmetry_equiv_pos_as_xyz
'x,y,z'
'-x,-y,-z'
'-x,y,-z+1/2'
'x,-y,z+1/2'
loop_
_atom_site_label
_atom_site_fract_x
_atom_site_fract_y
_atom_site_fract_z
Sm1 0.189 0.206 0.272
Ho1 0.500 0.500 0.000
Tm1 0.000 0.313 0.750
Th1 0.500 0.052 0.750
```

Calculated values
- formation enthalpy at 0 K (eV per atom) = 0.321
- size of the total moment (Bohr magnetons per cell) = 0.00

Entry 20:
# SmHo5TmTh2

SmHo5TmTh2 after structural relaxation (PBE-GGA, Alexandria).

```
data_SmHo5TmTh2
_cell_length_a 8.806
_cell_length_b 8.806
_cell_length_c 15.246
_cell_angle_alpha 90.00
_cell_angle_beta 90.00
_cell_angle_gamma 90.00
_symmetry_space_group_name_H-M 'I 4/m c m'
_symmetry_Int_Tables_number 140
_symmetry_space_group_name_Hall '-I 4 2c'
loop_
_atom_site_label
_atom_site_fract_x
_atom_site_fract_y
_atom_site_fract_z
Sm1 0.000 0.000 0.250
Ho1 0.000 0.000 0.000
Ho2 0.209 0.291 0.139
Tm1 0.000 0.500 0.250
Th1 0.119 0.381 0.500
```

Calculated values
- formation enthalpy at 0 K (eV per atom) = 0.345
- size of the total moment (Bohr magnetons per cell) = 0.00